Entry 1:
## RbTmSe2 (PBE)

Data for an optimized crystal structure of RbTmSe2.

It has space group R3m (No. 160, hexagonal axes), with a = 4.1756 Å, b = 4.1756 Å, c = 24.2512 Å, α = 90.00°, β = 90.00° and γ = 120.00°. The inequivalent atoms are Rb at (0.0000, 0.0000, 0.0000), Tm at (0.0000, 0.0000, 0.1688), Se at (0.0000, 0.0000, 0.5662) and Se at (0.0000, 0.0000, 0.7712).

Its uncorrected formation energy is -6.835 eV per formula unit. The value obtained for the total moment is 0.00 μB per cell. As for the density of states at the Fermi level: 0.00 states/eV per cell.

***

Entry 2:
## Rb3TmSe3 (PBE)

Data for an optimized crystal structure of Rb3TmSe3.

It has space group C2/m (No. 12), with a = 9.4690 Å, b = 14.6378 Å, c = 8.4491 Å, α = 90.00°, β = 100.64° and γ = 90.00°. The inequivalent atoms are Rb at (0.0000, 0.1810, 0.0000), Rb at (0.0000, 0.2500, 0.5000), Rb at (0.1155, 0.5000, 0.8628), Tm at (0.1766, 0.0000, 0.6425), Se at (0.1007, 0.0000, 0.3127) and Se at (0.1915, 0.3518, 0.2255).

Its uncorrected formation energy is -9.867 eV per formula unit. The value obtained for the total moment is 0.00 μB per cell. As for the density of states at the Fermi level: 0.00 states/eV per cell.

***

Entry 3:
## RbTm4Se6 (PBE)

Data for an optimized crystal structure of RbTm4Se6.

It has space group Cmcm (No. 63), with a = 4.0940 Å, b = 13.5755 Å, c = 21.6800 Å, α = 90.00°, β = 90.00° and γ = 90.00°. The inequivalent atoms are Rb at (0.0000, 0.1564, 0.2500), Tm at (0.0000, 0.0965, 0.6316), Tm at (0.0000, 0.3675, 0.5397), Se at (0.0000, 0.0000, 0.0000), Se at (0.0000, 0.1503, 0.7500), Se at (0.0000, 0.2710, 0.0799) and Se at (0.0000, 0.4625, 0.6504).

Its uncorrected formation energy is -19.082 eV per formula unit. The value obtained for the total moment is 0.00 μB per cell. As for the density of states at the Fermi level: 8.34 states/eV per cell.

***

Entry 4:
## RbTmSe (PBE)

Data for an optimized crystal structure of RbTmSe.

It has space group P4/nmm (No. 129, origin choice 2), with a = 4.8893 Å, b = 4.8893 Å, c = 11.3892 Å, α = 90.00°, β = 90.00° and γ = 90.00°. The inequivalent atoms are Rb at (0.2500, 0.2500, 0.1709), Tm at (0.2500, 0.7500, 0.5000) and Se at (0.2500, 0.2500, 0.6187).

Its uncorrected formation energy is -2.617 eV per formula unit. The value obtained for the total moment is 0.00 μB per cell. As for the density of states at the Fermi level: 3.29 states/eV per cell.

***

Entry 5:
## Rb3Tm2USe6 (PBE)

Data for an optimized crystal structure of Rb3Tm2USe6.

It has space group C2/m (No. 12), with a = 7.3346 Å, b = 12.7047 Å, c = 8.3720 Å, α = 90.00°, β = 106.98° and γ = 90.00°. The inequivalent atoms are Rb at (0.0000, 0.0000, 0.0000), Rb at (0.0000, 0.3342, 0.0000), Tm at (0.0000, 0.1667, 0.5000), U at (0.0000, 0.5000, 0.5000), Se at (0.2245, 0.0000, 0.6951) and Se at (0.2354, 0.3297, 0.6953).

Its uncorrected formation energy is -18.368 eV per formula unit. The value obtained for the total moment is 6.01 μB per cell. As for the density of states at the Fermi level: 19.41 states/eV per cell.

***

Entry 6:
## Rb2TmU2Se6 (PBE)

Data for an optimized crystal structure of Rb2TmU2Se6.

It has space group C2/m (No. 12), with a = 7.2258 Å, b = 12.4988 Å, c = 8.5568 Å, α = 90.00°, β = 106.23° and γ = 90.00°. The inequivalent atoms are Rb at (0.0000, 0.1666, 0.0000), Tm at (0.0000, 0.0000, 0.5000), U at (0.0000, 0.3338, 0.5000), Se at (0.2288, 0.1656, 0.6912) and Se at (0.2335, 0.5000, 0.6914).

Its uncorrected formation energy is -15.554 eV per formula unit. The value obtained for the total moment is 10.00 μB per cell. As for the density of states at the Fermi level: 24.33 states/eV per cell.

***

Entry 7:
## Rb2Tm2USe6 (PBE)

Data for an optimized crystal structure of Rb2Tm2USe6.

It has space group C2/m (No. 12), with a = 7.1777 Å, b = 12.4360 Å, c = 8.5465 Å, α = 90.00°, β = 106.41° and γ = 90.00°. The inequivalent atoms are Rb at (0.0000, 0.1675, 0.0000), Tm at (0.0000, 0.3332, 0.5000), U at (0.0000, 0.0000, 0.5000), Se at (0.2304, 0.1665, 0.6901) and Se at (0.2306, 0.5000, 0.6896).

Its uncorrected formation energy is -17.401 eV per formula unit. The value obtained for the total moment is 4.00 μB per cell. As for the density of states at the Fermi level: 15.02 states/eV per cell.

***

Entry 8:
## Rb4TmU3Se8 (PBE)

Data for an optimized crystal structure of Rb4TmU3Se8.

It has space group R-3m (No. 166, hexagonal axes), with a = 8.4721 Å, b = 8.4721 Å, c = 24.1538 Å, α = 90.00°, β = 90.00° and γ = 120.00°. The inequivalent atoms are Rb at (0.0000, 0.0000, 0.0000), Rb at (0.0000, 0.5000, 0.0000), Tm at (0.0000, 0.0000, 0.5000), U at (0.0000, 0.5000, 0.5000), Se at (0.0000, 0.0000, 0.2330) and Se at (0.0055, 0.5027, 0.2323).

Its uncorrected formation energy is -21.182 eV per formula unit. The value obtained for the total moment is 27.02 μB per cell. As for the density of states at the Fermi level: 52.69 states/eV per cell.

***

Entry 9:
## Rb3Tm3VSe8 (PBE)

Data for an optimized crystal structure of Rb3Tm3VSe8.

It has space group R-3m (No. 166, hexagonal axes), with a = 8.0734 Å, b = 8.0734 Å, c = 24.5715 Å, α = 90.00°, β = 90.00° and γ = 120.00°. The inequivalent atoms are Rb at (0.0000, 0.5000, 0.0000), Tm at (0.0000, 0.5000, 0.5000), V at (0.0000, 0.0000, 0.5000), Se at (0.0000, 0.0000, 0.2316) and Se at (0.0252, 0.5126, 0.2271).

Its uncorrected formation energy is -21.779 eV per formula unit. The value obtained for the total moment is 2.99 μB per cell. As for the density of states at the Fermi level: 19.91 states/eV per cell.

***

Entry 10:
## Rb3Y3TmSe8 (PBE)

Data for an optimized crystal structure of Rb3Y3TmSe8.

It has space group C2/m (No. 12), with a = 14.4075 Å, b = 8.3148 Å, c = 9.5032 Å, α = 90.00°, β = 120.40° and γ = 90.00°. The inequivalent atoms are Rb at (0.0000, 0.0000, 0.0000), Rb at (0.2500, 0.2500, 0.0000), Y at (0.0000, 0.5000, 0.5000), Y at (0.2500, 0.2500, 0.5000), Tm at (0.0000, 0.0000, 0.5000), Se at (0.0182, 0.2478, 0.3074), Se at (0.2295, 0.0000, 0.6926) and Se at (0.2323, 0.5000, 0.6964).

Its uncorrected formation energy is -25.105 eV per formula unit. The value obtained for the total moment is 0.00 μB per cell. As for the density of states at the Fermi level: 18.22 states/eV per cell.